[1]
Density functional theory data (PBE) for an optimized crystal structure of LiPa2CuSe6.

Lattice parameters (Å, degrees): 6.9852 7.0736 7.6362 62.49 62.81 61.02
Space group P1 (No. 1)
Asymmetric unit:
Li 0.0000 0.0000 0.0000 [1 per cell]
Pa 0.1595 0.2308 0.4601 [1 per cell]
Pa 0.6469 0.7442 0.9531 [1 per cell]
Cu 0.6997 0.6239 0.3918 [1 per cell]
Se 0.0396 0.8510 0.7082 [1 per cell]
Se 0.2630 0.6270 0.2159 [1 per cell]
Se 0.3757 0.1322 0.7307 [1 per cell]
Se 0.5584 0.0025 0.1908 [1 per cell]
Se 0.7693 0.4730 0.7134 [1 per cell]
Se 0.9010 0.3558 0.2044 [1 per cell]

Computed properties:
- Formation energy from raw total energies: -1041.6 kJ/mol of formula units

=====

[2]
Density functional theory data (PBE) for an optimized crystal structure of LiNd2Zn4Ge3.

Lattice parameters (Å, degrees): 4.1894 4.1894 10.8717 90.00 90.00 90.00
Space group P-4m2 (No. 115)
Asymmetric unit:
Li 0.0000 0.0000 0.0000 [1 per cell]
Nd 0.0000 0.5000 0.7462 [2 per cell]
Zn 0.0000 0.0000 0.5000 [1 per cell]
Zn 0.0000 0.5000 0.1295 [2 per cell]
Zn 0.5000 0.5000 0.5000 [1 per cell]
Ge 0.0000 0.5000 0.3568 [2 per cell]
Ge 0.5000 0.5000 0.0000 [1 per cell]

Computed properties:
- Calculated formation energy: -0.45 eV/atom

=====

| no. | VASP energy (eV/f.u.) |
| --- | --- |
| 1 | -56.70 |
| 2 | -34.89 |